Entry 1:
An optimized crystal structure of LiPrSn2Pd5. Source: Alexandria, functional GGA-PBE.

Cell lengths 4.2164, 4.2164, 10.2951 Å; angles 90.00, 90.00, 90.00 degrees
Closest atoms and distances in Å follow each position.
Fractional coordinates of all 9 atoms:
Pr 0.0000 0.0000 0.5000  12 Pd 2.98-3.00
Pd 0.5000 0.0000 0.2924  2 Sn 2.64
Pd 0.0000 0.5000 0.7076  2 Sn 2.64
Pd 0.0000 0.5000 0.2924  2 Sn 2.64
Pd 0.5000 0.5000 0.5000  4 Pr 2.98, 8 Pd 3.00
Pd 0.5000 0.0000 0.7076  2 Sn 2.64
Sn 0.5000 0.5000 0.8623  4 Pd 2.64, 1 Sn 2.83
Sn 0.5000 0.5000 0.1377  4 Pd 2.64, 1 Sn 2.83
Li 0.0000 0.0000 0.0000  8 Sn 3.30, 8 Pd 3.68

Total DFT energy (no corrections)   -5.059 eV/atom
Symmetry   No. 123
Volume   183.03 Å³/cell
Formation enthalpy at 0 K   -0.541 eV per atom
D(E_F)   2.5 states/eV/cell

---

Entry 2:
An optimized crystal structure of ErGa4Co2Ir. Source: Alexandria, functional GGA-PBE.

Cell lengths 4.1014, 4.1014, 8.9189 Å; angles 76.71, 76.71, 60.00 degrees
Closest atoms and distances in Å follow each position.
Fractional coordinates of all 8 atoms:
Ga 0.3999 0.3999 0.8003  3 Co 2.51, 1 Ir 2.58
Ga 0.1278 0.1278 0.6166  4 Co 2.49-2.76, 3 Ir 2.57
Ga 0.6001 0.6001 0.1997  3 Co 2.51, 1 Ir 2.58
Ga 0.8722 0.8722 0.3834  4 Co 2.49-2.76, 3 Ir 2.57
Co 0.7651 0.7651 0.7048  7 Ga 2.49-2.76
Co 0.2349 0.2349 0.2952  7 Ga 2.49-2.76
Er 0.0000 0.0000 0.0000  6 Ga 2.92
Ir 0.5000 0.5000 0.5000  8 Ga 2.57-2.58

Total DFT energy (no corrections)   -5.361 eV/atom
Symmetry   No. 166
Volume   125.27 Å³/cell
Formation enthalpy at 0 K   -0.393 eV per atom
D(E_F)   3.4 states/eV/cell

---

Entry 3:
An optimized crystal structure of Y2BeCr. Source: Alexandria, functional GGA-PBE.

Cell lengths 3.2684, 3.2684, 7.8037 Å; angles 90.00, 90.00, 90.00 degrees
Closest atoms and distances in Å follow each position.
Fractional coordinates of all 4 atoms:
Y 0.5000 0.5000 0.3202  1 Cr 2.77, 4 Be 3.01
Y 0.0000 0.0000 0.9371  1 Be 2.88, 4 Cr 3.09
Cr 0.5000 0.5000 0.6748  4 Be 2.46
Be 0.0000 0.0000 0.5679  4 Cr 2.46

Total DFT energy (no corrections)   -6.298 eV/atom
Symmetry   No. 99
Volume   83.36 Å³/cell
Formation enthalpy at 0 K   0.271 eV per atom
D(E_F)   3.6 states/eV/cell

---

Entry 4:
An optimized crystal structure of MnGaSiS. Source: Alexandria, functional GGA-PBE.

Cell lengths 2.8549, 4.2580, 5.6396 Å; angles 68.27, 84.87, 75.72 degrees
Closest atoms and distances in Å follow each position.
Fractional coordinates of all 4 atoms:
Ga 0.3529 0.5315 0.2834  2 Mn 2.53-2.55, 2 S 2.59-2.60
Si 0.1404 0.2200 0.9150  3 Mn 2.28-2.39
S 0.3493 0.8957 0.5657  2 Mn 2.20-2.21
Mn 0.8344 0.7886 0.8848  2 S 2.20-2.21, 3 Si 2.28-2.39

Uncorrected formation energy   -12 kJ/mol of atoms
Total DFT energy (no corrections)   -5.563 eV/atom
Symmetry   No. 1
Volume   61.72 Å³/cell
D(E_F)   0.5 states/eV/cell

---

Entry 5:
An optimized crystal structure of Tb2ThAl9. Source: Alexandria, functional GGA-PBE.

Cell lengths 5.5981, 5.5981, 9.3683 Å; angles 72.62, 72.62, 60.00 degrees
Closest atoms and distances in Å follow each position.
Fractional coordinates of all 12 atoms:
Al 0.9235 0.4133 0.2499  7 Al 2.71-2.86
Al 0.5867 0.0765 0.7501  7 Al 2.71-2.86
Al 0.6650 0.6650 0.0051  6 Al 2.71-2.75
Al 0.4133 0.9235 0.2499  7 Al 2.71-2.86
Al 0.4133 0.4133 0.2499  7 Al 2.71-2.86
Al 0.3350 0.3350 0.9949  6 Al 2.71-2.75
Al 0.5867 0.5867 0.7501  7 Al 2.71-2.86
Al 0.0765 0.5867 0.7501  7 Al 2.71-2.86
Al 0.5000 0.5000 0.5000  6 Al 2.75
Tb 0.8591 0.8591 0.4228  12 Al 3.19-3.30, 3 Tb 3.51
Tb 0.1409 0.1409 0.5772  12 Al 3.19-3.30, 3 Tb 3.51
Th 0.0000 0.0000 0.0000  18 Al 3.23-3.56

Total DFT energy (no corrections)   -4.581 eV/atom
Symmetry   No. 166
Volume   238.65 Å³/cell
Formation enthalpy at 0 K   -0.384 eV per atom
D(E_F)   6.6 states/eV/cell

---

Entry 6:
An optimized crystal structure of PmYCuNi. Source: Alexandria, functional GGA-PBE.

Cell lengths 4.9189, 4.9189, 4.9189 Å; angles 60.00, 60.00, 60.00 degrees
Closest atoms and distances in Å follow each position.
Fractional coordinates of all 4 atoms:
Ni 0.2500 0.2500 0.2500  4 Pm 3.01, 4 Y 3.01
Y 0.5000 0.5000 0.5000  4 Ni 3.01, 4 Cu 3.01
Pm 0.0000 0.0000 0.0000  4 Ni 3.01, 4 Cu 3.01
Cu 0.7500 0.7500 0.7500  4 Pm 3.01, 4 Y 3.01

Total DFT energy (no corrections)   -5.531 eV/atom
Symmetry   No. 216
Volume   84.16 Å³/cell
Formation enthalpy at 0 K   -0.258 eV per atom
D(E_F)   2.5 states/eV/cell

---

Entry 7:
An optimized crystal structure of Cd3Hg5Bi. Source: Alexandria, functional GGA-PBE.

Cell lengths 6.1221, 7.8394, 10.0890 Å; angles 90.00, 90.00, 88.07 degrees
Closest atoms and distances in Å follow each position.
Fractional coordinates of all 18 atoms:
Hg 0.3803 0.7341 0.5000  3 Cd 2.95-3.11, 1 Hg 3.25
Hg 0.3457 0.7381 0.8321  3 Cd 2.98-3.16, 1 Hg 3.21
Hg 0.8493 0.7767 0.6735  3 Cd 3.08-3.17, 4 Hg 3.30-3.44, 1 Bi 3.33
Hg 0.5731 0.1014 0.8357  4 Cd 3.07-3.13, 4 Hg 3.21-3.42
Hg 0.8379 0.7633 0.0000  3 Cd 3.06-3.19, 3 Hg 3.11-3.30
Hg 0.5731 0.1014 0.1643  4 Cd 3.07-3.13, 4 Hg 3.21-3.42
Hg 0.5796 0.1133 0.5000  4 Cd 3.12-3.15, 3 Hg 3.25-3.39
Hg 0.0760 0.4068 0.0000  4 Cd 3.04-3.14, 1 Hg 3.11, 2 Bi 3.39
Hg 0.3457 0.7381 0.1679  3 Cd 2.98-3.16, 1 Hg 3.21
Hg 0.8493 0.7767 0.3265  3 Cd 3.08-3.17, 4 Hg 3.30-3.44, 1 Bi 3.33
Cd 0.0734 0.0597 0.8451  6 Hg 2.98-3.19, 1 Cd 3.13, 1 Bi 3.13
Cd 0.5730 0.4425 0.6785  2 Bi 3.08-3.12, 5 Hg 3.08-3.17, 1 Cd 3.24
Cd 0.0829 0.0379 0.5000  5 Hg 2.95-3.12, 2 Bi 3.18
Cd 0.5730 0.4425 0.3215  2 Bi 3.08-3.12, 5 Hg 3.08-3.17, 1 Cd 3.24
Cd 0.5701 0.4403 0.0000  7 Hg 3.04-3.16, 2 Cd 3.24
Cd 0.0734 0.0597 0.1549  6 Hg 2.98-3.19, 1 Cd 3.13, 1 Bi 3.13
Bi 0.0722 0.3837 0.3357  4 Cd 3.08-3.18, 1 Bi 3.31, 2 Hg 3.33-3.39
Bi 0.0722 0.3837 0.6643  4 Cd 3.08-3.18, 1 Bi 3.31, 2 Hg 3.33-3.39

Total DFT energy (no corrections)   -0.875 eV/atom
Symmetry   No. 6
Volume   483.94 Å³/cell
Formation enthalpy at 0 K   0.029 eV per atom
D(E_F)   5.1 states/eV/cell

---

Entry 8:
An optimized crystal structure of PmInAg. Source: Alexandria, functional GGA-PBE.

Cell lengths 3.8965, 6.4938, 7.2130 Å; angles 116.54, 105.67, 90.00 degrees
Closest atoms and distances in Å follow each position.
Fractional coordinates of all 6 atoms:
Ag 0.5001 0.2711 0.0003  1 Ag 2.98, 4 In 3.02, 4 Pm 3.21
Ag 0.4999 0.7289 0.9997  1 Ag 2.98, 4 In 3.02, 4 Pm 3.21
In 0.1218 0.1201 0.2435  1 In 3.00, 4 Ag 3.02, 4 Pm 3.23-3.30
In 0.8782 0.8799 0.7565  1 In 3.00, 4 Ag 3.02, 4 Pm 3.23-3.30
Pm 0.8316 0.3334 0.6632  4 Ag 3.21, 4 In 3.23-3.30
Pm 0.1684 0.6666 0.3368  4 Ag 3.21, 4 In 3.23-3.30

Total DFT energy (no corrections)   -3.748 eV/atom
Symmetry   No. 12
Volume   155.67 Å³/cell
Formation enthalpy at 0 K   -0.301 eV per atom
D(E_F)   5.2 states/eV/cell

---

Q: Which formula does entry 3 have?
A: Y2BeCr

---

Q: volume of number 5 (Tb2ThAl9)?
A: 238.65 Å³/cell

---

Please write out number 4 again, unchanged.
An optimized crystal structure of MnGaSiS. Source: Alexandria, functional GGA-PBE.

Cell lengths 2.8549, 4.2580, 5.6396 Å; angles 68.27, 84.87, 75.72 degrees
Closest atoms and distances in Å follow each position.
Fractional coordinates of all 4 atoms:
Ga 0.3529 0.5315 0.2834  2 Mn 2.53-2.55, 2 S 2.59-2.60
Si 0.1404 0.2200 0.9150  3 Mn 2.28-2.39
S 0.3493 0.8957 0.5657  2 Mn 2.20-2.21
Mn 0.8344 0.7886 0.8848  2 S 2.20-2.21, 3 Si 2.28-2.39

Uncorrected formation energy   -12 kJ/mol of atoms
Total DFT energy (no corrections)   -5.563 eV/atom
Symmetry   No. 1
Volume   61.72 Å³/cell
D(E_F)   0.5 states/eV/cell

---

What did the first record say?
An optimized crystal structure of LiPrSn2Pd5. Source: Alexandria, functional GGA-PBE.

Cell lengths 4.2164, 4.2164, 10.2951 Å; angles 90.00, 90.00, 90.00 degrees
Closest atoms and distances in Å follow each position.
Fractional coordinates of all 9 atoms:
Pr 0.0000 0.0000 0.5000  12 Pd 2.98-3.00
Pd 0.5000 0.0000 0.2924  2 Sn 2.64
Pd 0.0000 0.5000 0.7076  2 Sn 2.64
Pd 0.0000 0.5000 0.2924  2 Sn 2.64
Pd 0.5000 0.5000 0.5000  4 Pr 2.98, 8 Pd 3.00
Pd 0.5000 0.0000 0.7076  2 Sn 2.64
Sn 0.5000 0.5000 0.8623  4 Pd 2.64, 1 Sn 2.83
Sn 0.5000 0.5000 0.1377  4 Pd 2.64, 1 Sn 2.83
Li 0.0000 0.0000 0.0000  8 Sn 3.30, 8 Pd 3.68

Total DFT energy (no corrections)   -5.059 eV/atom
Symmetry   No. 123
Volume   183.03 Å³/cell
Formation enthalpy at 0 K   -0.541 eV per atom
D(E_F)   2.5 states/eV/cell